(1)
Compound: Pm4InRu
Source: Alexandria
Functional: PBE
Structure: optimized geometry

Cell: 7.9781 7.9781 6.3210 Å, 99.60 99.60 112.04°
Element x y z (fractional)
Pm 0.0569 0.7228 0.9536
Pm 0.2039 0.3644 0.6037
Pm 0.2772 0.9431 0.5464
Pm 0.3644 0.2039 0.1037
Pm 0.6356 0.7961 0.8963
Pm 0.7228 0.0569 0.4536
Pm 0.7961 0.6356 0.3963
Pm 0.9431 0.2772 0.0464
In 0.3770 0.6230 0.2500
In 0.6230 0.3770 0.7500
Ru 0.9997 0.0003 0.2500
Ru 0.0003 0.9997 0.7500

- DOS at the Fermi energy (states/eV per atom) = 1.151

(2)
Compound: Pm4InRu
Source: Alexandria
Functional: PBE
Structure: optimized geometry

Cell: 9.8694 9.8694 9.8694 Å, 60.00 60.00 60.00°
Element x y z (fractional)
Pm 0.1903 0.1903 0.8097
Pm 0.1903 0.8097 0.1903
Pm 0.1903 0.8097 0.8097
Pm 0.4030 0.4030 0.4030
Pm 0.4030 0.4030 0.7909
Pm 0.4030 0.7909 0.4030
Pm 0.5574 0.5574 0.9426
Pm 0.5574 0.9426 0.5574
Pm 0.5574 0.9426 0.9426
Pm 0.7909 0.4030 0.4030
Pm 0.8097 0.1903 0.1903
Pm 0.8097 0.1903 0.8097
Pm 0.8097 0.8097 0.1903
Pm 0.9426 0.5574 0.5574
Pm 0.9426 0.5574 0.9426
Pm 0.9426 0.9426 0.5574
In 0.1689 0.1689 0.1689
In 0.1689 0.1689 0.4932
In 0.1689 0.4932 0.1689
In 0.4932 0.1689 0.1689
Ru 0.1629 0.6124 0.6124
Ru 0.6124 0.1629 0.6124
Ru 0.6124 0.6124 0.1629
Ru 0.6124 0.6124 0.6124

- DOS at the Fermi energy (states/eV per atom) = 0.741

Most stable pick: (2). Distance to second place: 47 meV/atom.

(1)
Compound: Pm6InRu2
Source: Alexandria
Functional: PBE
Structure: optimized geometry

Cell: 8.6978 8.6978 8.6978 Å, 112.90 111.24 104.39°
Element x y z (fractional)
Pm 0.0343 0.2380 0.7963
Pm 0.1832 0.2866 0.4698
Pm 0.1832 0.7134 0.8967
Pm 0.3280 0.0159 0.6879
Pm 0.3280 0.6402 0.3121
Pm 0.4417 0.2380 0.2037
Pm 0.5583 0.7620 0.7963
Pm 0.6720 0.3598 0.6879
Pm 0.6720 0.9841 0.3121
Pm 0.8168 0.2866 0.1033
Pm 0.8168 0.7134 0.5302
Pm 0.9657 0.7620 0.2037
In 0.0000 0.0000 0.0000
In 0.5000 0.5000 0.0000
Ru 0.1252 0.6252 0.5000
Ru 0.3229 0.0000 0.3229
Ru 0.6771 0.0000 0.6771
Ru 0.8748 0.3748 0.5000

- DOS at the Fermi energy (states/eV per atom) = 0.872

(2)
Compound: Pm6InRu2
Source: Alexandria
Functional: PBE
Structure: optimized geometry

Cell: 5.8090 5.8090 9.4064 Å, 101.20 101.20 52.74°
Element x y z (fractional)
Pm 0.0339 0.0339 0.3477
Pm 0.2947 0.2947 0.6633
Pm 0.3350 0.3350 0.1185
Pm 0.6650 0.6650 0.8815
Pm 0.7053 0.7053 0.3367
Pm 0.9661 0.9661 0.6523
In 0.0000 0.0000 0.0000
Ru 0.3841 0.3841 0.4044
Ru 0.6159 0.6159 0.5956

- DOS at the Fermi energy (states/eV per atom) = 0.856

Most stable pick: (1). Distance to second place: 76 meV/atom.

(1)
Compound: PmIn2Ru
Source: Alexandria
Functional: PBE
Structure: optimized geometry

Cell: 7.0039 7.0039 7.0039 Å, 90.00 90.00 90.00°
Element x y z (fractional)
Pm 0.0000 0.0000 0.0000
Pm 0.0000 0.5000 0.5000
Pm 0.5000 0.0000 0.5000
Pm 0.5000 0.5000 0.0000
In 0.2500 0.2500 0.2500
In 0.2500 0.2500 0.7500
In 0.2500 0.7500 0.2500
In 0.2500 0.7500 0.7500
In 0.7500 0.2500 0.2500
In 0.7500 0.2500 0.7500
In 0.7500 0.7500 0.2500
In 0.7500 0.7500 0.7500
Ru 0.0000 0.0000 0.5000
Ru 0.0000 0.5000 0.0000
Ru 0.5000 0.0000 0.0000
Ru 0.5000 0.5000 0.5000

- DOS at the Fermi energy (states/eV per atom) = 0.854

(2)
Compound: PmIn2Ru
Source: Alexandria
Functional: PBE
Structure: optimized geometry

Cell: 4.5668 4.5668 15.7179 Å, 90.00 90.00 120.00°
Element x y z (fractional)
Pm 0.0000 0.0000 0.0000
Pm 0.3333 0.6667 0.6667
Pm 0.6667 0.3333 0.3333
In 0.0000 0.0000 0.2193
In 0.0000 0.0000 0.7807
In 0.3333 0.6667 0.4473
In 0.3333 0.6667 0.8860
In 0.6667 0.3333 0.1140
In 0.6667 0.3333 0.5527
Ru 0.0000 0.0000 0.5000
Ru 0.3333 0.6667 0.1667
Ru 0.6667 0.3333 0.8333

- DOS at the Fermi energy (states/eV per atom) = 0.585

Most stable pick: (2). Distance to second place: 17 meV/atom.

(1)
Compound: PmIn2Ru
Source: Alexandria
Functional: PBE
Structure: optimized geometry

Cell: 3.3685 3.3685 7.7207 Å, 90.00 90.00 90.00°
Element x y z (fractional)
Pm 0.0000 0.0000 0.0000
In 0.5000 0.5000 0.3022
In 0.5000 0.5000 0.6978
Ru 0.0000 0.0000 0.5000

- DOS at the Fermi energy (states/eV per atom) = 0.739

(2)
Compound: PmIn2Ru
Source: Alexandria
Functional: PBE
Structure: optimized geometry

Cell: 4.1378 10.3027 8.5482 Å, 90.00 90.00 90.00°
Element x y z (fractional)
Pm 0.0000 0.0688 0.2500
Pm 0.0000 0.9312 0.7500
Pm 0.5000 0.4312 0.7500
Pm 0.5000 0.5688 0.2500
In 0.0000 0.3534 0.0469
In 0.0000 0.3534 0.4531
In 0.0000 0.6466 0.5469
In 0.0000 0.6466 0.9531
In 0.5000 0.1466 0.5469
In 0.5000 0.1466 0.9531
In 0.5000 0.8534 0.0469
In 0.5000 0.8534 0.4531
Ru 0.0000 0.2190 0.7500
Ru 0.0000 0.7810 0.2500
Ru 0.5000 0.2810 0.2500
Ru 0.5000 0.7190 0.7500

- DOS at the Fermi energy (states/eV per atom) = 0.431

Most stable pick: (2). Distance to second place: 158 meV/atom.

(1)
Compound: PmScInRu
Source: Alexandria
Functional: PBE
Structure: optimized geometry

Cell: 3.3398 3.3398 8.0371 Å, 90.00 90.00 90.00°
Element x y z (fractional)
Pm 0.0000 0.0000 0.0000
Sc 0.0000 0.0000 0.5893
In 0.5000 0.5000 0.3201
Ru 0.5000 0.5000 0.7629

- DOS at the Fermi energy (states/eV per atom) = 0.682

(2)
Compound: PmScInRu
Source: Alexandria
Functional: PBE
Structure: optimized geometry

Cell: 7.0705 7.0705 7.0705 Å, 90.00 90.00 90.00°
Element x y z (fractional)
Pm 0.0000 0.0000 0.0000
Pm 0.0000 0.5000 0.5000
Pm 0.5000 0.0000 0.5000
Pm 0.5000 0.5000 0.0000
Sc 0.0000 0.0000 0.5000
Sc 0.0000 0.5000 0.0000
Sc 0.5000 0.0000 0.0000
Sc 0.5000 0.5000 0.5000
In 0.2500 0.2500 0.7500
In 0.2500 0.7500 0.2500
In 0.7500 0.2500 0.2500
In 0.7500 0.7500 0.7500
Ru 0.2500 0.2500 0.2500
Ru 0.2500 0.7500 0.7500
Ru 0.7500 0.2500 0.7500
Ru 0.7500 0.7500 0.2500

- DOS at the Fermi energy (states/eV per atom) = 0.710

Most stable pick: (1). Distance to second place: 166 meV/atom.

(1)
Compound: PmSmInRu
Source: Alexandria
Functional: PBE
Structure: optimized geometry

Cell: 3.4325 3.4325 8.5819 Å, 90.00 90.00 90.00°
Element x y z (fractional)
Pm 0.0000 0.0000 0.0000
Sm 0.0000 0.0000 0.5953
In 0.5000 0.5000 0.2991
Ru 0.5000 0.5000 0.7960

- DOS at the Fermi energy (states/eV per atom) = 1.056

(2)
Compound: PmSmInRu
Source: Alexandria
Functional: PBE
Structure: optimized geometry

Cell: 7.3280 7.3280 7.3280 Å, 90.00 90.00 90.00°
Element x y z (fractional)
Pm 0.0000 0.0000 0.0000
Pm 0.0000 0.5000 0.5000
Pm 0.5000 0.0000 0.5000
Pm 0.5000 0.5000 0.0000
Sm 0.0000 0.0000 0.5000
Sm 0.0000 0.5000 0.0000
Sm 0.5000 0.0000 0.0000
Sm 0.5000 0.5000 0.5000
In 0.2500 0.2500 0.2500
In 0.2500 0.7500 0.7500
In 0.7500 0.2500 0.7500
In 0.7500 0.7500 0.2500
Ru 0.2500 0.2500 0.7500
Ru 0.2500 0.7500 0.2500
Ru 0.7500 0.2500 0.2500
Ru 0.7500 0.7500 0.7500

- DOS at the Fermi energy (states/eV per atom) = 0.640

Most stable pick: (1). Distance to second place: 105 meV/atom.

(1)
Compound: Pm2InS
Source: Alexandria
Functional: PBE
Structure: optimized geometry

Cell: 3.9658 3.9658 24.1944 Å, 90.00 90.00 120.00°
Element x y z (fractional)
Pm 0.0000 0.0000 0.2353
Pm 0.0000 0.0000 0.7647
Pm 0.3333 0.6667 0.4313
Pm 0.3333 0.6667 0.9020
Pm 0.6667 0.3333 0.0980
Pm 0.6667 0.3333 0.5687
In 0.0000 0.0000 0.0000
In 0.3333 0.6667 0.6667
In 0.6667 0.3333 0.3333
S 0.0000 0.0000 0.5000
S 0.3333 0.6667 0.1667
S 0.6667 0.3333 0.8333

- DOS at the Fermi energy (states/eV per atom) = 0.521

(2)
Compound: Pm2InS
Source: Alexandria
Functional: PBE
Structure: optimized geometry

Cell: 3.4846 3.4846 8.1945 Å, 90.00 90.00 90.00°
Element x y z (fractional)
Pm 0.0000 0.0000 0.2188
Pm 0.0000 0.0000 0.7812
In 0.5000 0.5000 0.5000
S 0.5000 0.5000 0.0000

- DOS at the Fermi energy (states/eV per atom) = 0.908

(3)
Compound: Pm2InS
Source: Alexandria
Functional: PBE
Structure: optimized geometry

Cell: 3.9194 3.9194 24.9475 Å, 90.00 90.00 120.00°
Element x y z (fractional)
Pm 0.0000 0.0000 0.0000
Pm 0.0000 0.0000 0.2002
Pm 0.3333 0.6667 0.6667
Pm 0.3333 0.6667 0.8669
Pm 0.6667 0.3333 0.3333
Pm 0.6667 0.3333 0.5335
In 0.0000 0.0000 0.4332
In 0.3333 0.6667 0.0999
In 0.6667 0.3333 0.7665
S 0.0000 0.0000 0.6009
S 0.3333 0.6667 0.2676
S 0.6667 0.3333 0.9343

- DOS at the Fermi energy (states/eV per atom) = 1.036

Most stable pick: (1). Distance to second place: 48 meV/atom.

(1)
Compound: Pm4In2S
Source: Alexandria
Functional: PBE
Structure: optimized geometry

Cell: 5.2644 5.2644 16.1598 Å, 90.00 90.00 90.00°
Element x y z (fractional)
Pm 0.0000 0.0000 0.1733
Pm 0.0000 0.0000 0.8267
Pm 0.0000 0.5000 0.0000
Pm 0.0000 0.5000 0.5000
Pm 0.5000 0.0000 0.0000
Pm 0.5000 0.0000 0.5000
Pm 0.5000 0.5000 0.3267
Pm 0.5000 0.5000 0.6733
In 0.0000 0.0000 0.3715
In 0.0000 0.0000 0.6285
In 0.5000 0.5000 0.1285
In 0.5000 0.5000 0.8715
S 0.0000 0.0000 0.0000
S 0.5000 0.5000 0.5000

- DOS at the Fermi energy (states/eV per atom) = 0.876

(2)
Compound: Pm4In2S
Source: Alexandria
Functional: PBE
Structure: optimized geometry

Cell: 12.8515 4.1151 9.2385 Å, 90.00 123.16 90.00°
Element x y z (fractional)
Pm 0.0902 0.0000 0.3521
Pm 0.1640 0.5000 0.0667
Pm 0.3360 0.0000 0.9333
Pm 0.4098 0.5000 0.6479
Pm 0.5902 0.5000 0.3521
Pm 0.6640 0.0000 0.0667
Pm 0.8360 0.5000 0.9333
Pm 0.9098 0.0000 0.6479
In 0.1262 0.5000 0.6647
In 0.3738 0.0000 0.3353
In 0.6262 0.0000 0.6647
In 0.8738 0.5000 0.3353
S 0.0000 0.0000 0.0000
S 0.5000 0.5000 0.0000

- DOS at the Fermi energy (states/eV per atom) = 0.842

Most stable pick: (2). Distance to second place: 160 meV/atom.